VASP calculation (PBE with a Hubbard U) on an optimized crystal structure of Cs2MnO4.

It has space group Pnma (No. 62), with a = 8.5546 Å, b = 6.4174 Å, c = 11.3815 Å, α = 90.00°, β = 90.00° and γ = 90.00°. The inequivalent atoms are Cs at (0.0099, 0.2500, 0.1943), Cs at (0.1679, 0.7500, 0.4130), Mn at (0.2328, 0.7500, 0.0807), O at (0.0387, 0.7500, 0.0824), O at (0.1977, 0.0389, 0.6483) and O at (0.2073, 0.2500, 0.4408).

Its crystal system is orthorhombic. Its total magnetization is 1.00 μB/f.u. The energy above the most stable polymorph in this dataset is 0 meV per atom. The calculation puts the electronic total energy at -5.4860 eV/atom.